The following is a PBE-GGA calculation of K2LiP after structural relaxation, from the Alexandria database.

Geometry as POSCAR:
```
K2LiP
1.0
4.592 0.000 0.000
0.000 2.834 4.948
0.000 -2.834 4.948
K Li P
2 1 1
direct
0.000 0.000 0.000
0.500 0.332 0.332
0.000 0.666 0.666
0.500 0.663 0.663
```

Properties
Density (g cm⁻³): 1.497
ΔE_f (kJ per mole of atoms): -31.2